Record 1
The following is a PBE calculation of a relaxed structure of SmYErTh2, from the Alexandria database.

Calculated values
The formation energy comes out at 397.7 meV/atom. As for the calculated volume: 34.86 A^3/atom.

Lattice parameters (Å, degrees): 8.510 8.510 6.673 90.00 90.00 133.84
Element x y z (fractional)
1 Sm 0.248 0.752 0.750
2 Sm 0.752 0.248 0.250
3 Y 0.152 0.848 0.250
4 Y 0.848 0.152 0.750
5 Er 0.350 0.650 0.250
6 Er 0.650 0.350 0.750
7 Th 0.250 0.250 0.000
8 Th 0.250 0.250 0.500
9 Th 0.750 0.750 0.000
10 Th 0.750 0.750 0.500

=====

Record 2
The following is a PBE calculation of a relaxed structure of CsS8Br2, from the Alexandria database.

Calculated values
As for the calculated volume: 39.79 A^3/atom.

Lattice parameters (Å, degrees): 12.177 12.177 5.616 100.18 100.18 141.49
Element x y z (fractional)
1 Cs 0.000 0.000 0.000
2 S 0.053 0.363 0.002
3 S 0.203 0.797 0.000
4 S 0.363 0.053 0.002
5 S 0.478 0.478 0.655
6 S 0.522 0.522 0.345
7 S 0.637 0.947 0.998
8 S 0.797 0.203 0.000
9 S 0.947 0.637 0.998
10 Br 0.338 0.662 0.500
11 Br 0.662 0.338 0.500

=====

no.,E_tot (eV per cell),magnetic moment (Bohr magnetons per cell)
1,-57.19,0.000
2,-37.85,1.561